(1)
DFT (GGA-PBE) results for a relaxed YTc2Ir crystal.

uncorrected energy: -8.730 eV per atom
excess energy over the best structure of this formula in the dataset: 1.20 eV per formula unit
spin magnetization: 0.000 μB per atom
theoretical density: 11.7 g/cm³
formation energy: 110 kJ/mol of formula units
density of states at the Fermi level: 0.96 states/eV per atom

a b c (Å): 2.8834 2.8834 28.1588
angles (deg): 90.00 90.00 120.00
Space group R3m (No. 160, hexagonal axes)
Unique sites:
1 Y 0.0000 0.0000 0.0000 x3
2 Tc 0.0000 0.0000 0.2399 x3
3 Tc 0.0000 0.0000 0.4998 x3
4 Ir 0.0000 0.0000 0.7562 x3

=====

(2)
DFT (GGA-PBE) results for a relaxed YTc2Ir crystal.

uncorrected energy: -8.963 eV per atom
excess energy over the best structure of this formula in the dataset: 0.26 eV per formula unit
spin magnetization: 0.000 μB per atom
theoretical density: 11.3 g/cm³
formation energy: 20 kJ/mol of formula units
density of states at the Fermi level: 1.36 states/eV per atom

a b c (Å): 2.951 4.372 5.544
angles (deg): 90.00 102.07 90.00
Space group Pm (No. 6)
Unique sites:
1 Y 0.000 0.000 0.000 x1
2 Tc 0.277 0.500 0.642 x1
3 Tc 0.630 0.000 0.501 x1
4 Ir 0.586 0.500 0.218 x1

=====

(3)
DFT (GGA-PBE) results for a relaxed YTc2Ir crystal.

uncorrected energy: -8.584 eV per atom
excess energy over the best structure of this formula in the dataset: 1.78 eV per formula unit
spin magnetization: 0.000 μB per atom
theoretical density: 11.6 g/cm³
formation energy: 166 kJ/mol of formula units
density of states at the Fermi level: 1.28 states/eV per atom

a b c (Å): 2.8471 2.8471 29.0736
angles (deg): 90.00 90.00 120.00
Space group R-3m (No. 166, hexagonal axes)
Unique sites:
1 Y 0.0000 0.0000 0.0000 x3
2 Tc 0.0000 0.0000 0.2406 x6
3 Ir 0.0000 0.0000 0.5000 x3

=====

(4)
DFT (GGA-PBE) results for a relaxed YTc2Ir crystal.

uncorrected energy: -8.846 eV per atom
excess energy over the best structure of this formula in the dataset: 0.73 eV per formula unit
spin magnetization: 0.000 μB per atom
theoretical density: 11.5 g/cm³
formation energy: 65 kJ/mol of formula units
density of states at the Fermi level: 1.29 states/eV per atom

a b c (Å): 3.947 3.947 8.841
angles (deg): 90.00 90.00 90.00
Space group I4/mmm (No. 139)
Unique sites:
1 Y 0.000 0.000 0.000 x2
2 Tc 0.000 0.500 0.250 x4
3 Ir 0.000 0.000 0.500 x2

=====

(5)
DFT (GGA-PBE) results for a relaxed YTc2Ir crystal.

uncorrected energy: -8.724 eV per atom
excess energy over the best structure of this formula in the dataset: 1.22 eV per formula unit
spin magnetization: 0.419 μB per atom
theoretical density: 11.7 g/cm³
formation energy: 112 kJ/mol of formula units
density of states at the Fermi level: 1.22 states/eV per atom

a b c (Å): 6.467 6.467 6.467
angles (deg): 90.00 90.00 90.00
Space group Fm-3m (No. 225)
Unique sites:
1 Y 0.000 0.000 0.000 x4
2 Tc 0.250 0.250 0.250 x8
3 Ir 0.000 0.000 0.500 x4

=====

(6)
DFT (GGA-PBE) results for a relaxed YTc2Ir2 crystal.

uncorrected energy: -9.122 eV per atom
excess energy over the best structure of this formula in the dataset: 0.28 eV per formula unit
spin magnetization: 0.000 μB per atom
theoretical density: 13.2 g/cm³
formation energy: -67 kJ/mol of formula units
density of states at the Fermi level: 0.96 states/eV per atom

a b c (Å): 7.748 7.748 2.795
angles (deg): 90.00 90.00 90.00
Space group P4/mbm (No. 127)
Unique sites:
1 Y 0.000 0.000 0.000 x2
2 Tc 0.173 0.327 0.500 x4
3 Ir 0.122 0.622 0.000 x4

=====

(7)
DFT (GGA-PBE) results for a relaxed YTc2Ir crystal.

uncorrected energy: -8.968 eV per atom
excess energy over the best structure of this formula in the dataset: 0.24 eV per formula unit
spin magnetization: 0.000 μB per atom
theoretical density: 11.2 g/cm³
formation energy: 18 kJ/mol of formula units
density of states at the Fermi level: 0.96 states/eV per atom

a b c (Å): 9.911 2.958 4.960
angles (deg): 90.00 103.27 90.00
Space group C2/m (No. 12)
Unique sites:
1 Y 0.000 0.000 0.000 x2
2 Tc 0.228 0.000 0.693 x4
3 Ir 0.000 0.500 0.500 x2

=====

(8)
DFT (GGA-PBE) results for a relaxed YTc2Ir crystal.

uncorrected energy: -8.751 eV per atom
excess energy over the best structure of this formula in the dataset: 1.11 eV per formula unit
spin magnetization: 0.000 μB per atom
theoretical density: 11.8 g/cm³
formation energy: 102 kJ/mol of formula units
density of states at the Fermi level: 1.41 states/eV per atom

a b c (Å): 5.646 8.452 2.820
angles (deg): 90.00 90.00 90.00
Space group Cmmm (No. 65)
Unique sites:
1 Y 0.000 0.000 0.000 x2
2 Tc 0.250 0.250 0.500 x4
3 Ir 0.000 0.500 0.000 x2